A plane-wave DFT calculation with PBE was carried out for an optimized crystal structure of CaZn2W.

Structure (CIF):
```
data_CaZn2W
_cell_length_a 2.894
_cell_length_b 3.889
_cell_length_c 6.481
_cell_angle_alpha 90.00
_cell_angle_beta 90.00
_cell_angle_gamma 90.00
_space_group_name_H-M_alt 'P m m m'
_space_group_IT_number 47
loop_
_space_group_symop_operation_xyz
'x,y,z'
'-x,-y,-z'
'-x,-y,z'
'x,y,-z'
'x,-y,-z'
'-x,y,z'
'-x,y,-z'
'x,-y,z'
loop_
_atom_site_label
_atom_site_fract_x
_atom_site_fract_y
_atom_site_fract_z
_atom_site_occupancy
Ca1 0.000 0.000 0.000 1
Zn1 0.500 0.500 0.298 1
W1 0.000 0.000 0.500 1
```

Computed properties:
Calculated volume: 72.9 Å³ per cell
Total magnetization: 0.2 μB per formula unit
Total DFT energy (no corrections): -4.115 eV/atom
Energy of formation: 261 meV/atom